10
Lattice="5.339 0.000 0.000 0.000 5.339 0.000 0.000 0.000 2.566" Properties=species:S:1:pos:R:3 comment="PBE MnFe2H2, relaxed" space_group="No. 127" dos_at_fermi_per_ev_atom=1.05 polymorph_energy_mev_per_atom=231.2 pbc="T T T"
H 1.660 4.329 0.000
H 1.009 1.660 0.000
H 4.329 3.679 0.000
H 3.679 1.009 0.000
Fe 4.567 1.898 1.283
Fe 3.441 4.567 1.283
Fe 0.771 3.441 1.283
Fe 1.898 0.771 1.283
Mn 0.000 0.000 0.000
Mn 2.669 2.669 0.000

***

12
Lattice="4.508 0.097 0.678 1.097 3.786 2.207 0.075 0.041 4.516" Properties=species:S:1:pos:R:3 comment="PBE Mn5FeH6, relaxed" space_group="No. 12" dos_at_fermi_per_ev_atom=0.78 total_energy_ev_per_atom=-6.23 pbc="T T T"
H 2.176 3.525 5.211
H 1.786 2.255 2.960
H 4.205 2.918 2.167
H 3.894 1.669 4.442
H 1.400 0.966 0.718
H 3.505 0.399 2.191
Mn 2.803 1.942 1.443
Mn 2.489 0.713 3.706
Mn 3.192 3.211 3.695
Mn 0.782 2.550 4.484
Mn 0.391 1.277 2.239
Fe 0.000 0.000 0.000

***

16
Lattice="-1.322 -1.787 -3.539 -2.478 -2.441 2.158 -5.108 4.753 -0.490" Properties=species:S:1:pos:R:3 comment="PBE MnFeH2, relaxed" space_group="No. 57" dos_at_fermi_per_ev_atom=0.32 polymorph_energy_mev_per_atom=0.0 pbc="T T T"
Fe -7.368 1.436 0.795
Fe -2.034 -1.154 0.109
Fe -1.541 -0.911 -2.666
Fe -6.875 1.679 -1.980
Mn -2.131 1.197 -1.042
Mn -3.998 -0.884 -1.761
Mn -4.911 1.410 -0.110
Mn -6.778 -0.671 -0.830
H -5.101 -0.323 -0.399
H -4.440 0.571 1.371
H -4.265 -2.609 -2.024
H -5.305 2.241 -1.617
H -3.808 0.848 -1.473
H -3.604 -1.715 -0.255
H -4.644 3.134 0.153
H -4.469 -0.045 -3.242

***

4
Lattice="2.521 0.000 0.000 1.261 2.183 0.000 1.261 0.728 6.084" Properties=species:S:1:pos:R:3 comment="PBE Mn2FeH, relaxed" space_group="No. 160" dos_at_fermi_per_ev_atom=1.02 polymorph_energy_mev_per_atom=0.0 pbc="T T T"
Fe 2.521 1.456 3.057
H 3.782 2.183 6.083
Mn 1.261 0.728 4.970
Mn 1.261 0.728 1.101

***

16
Lattice="4.398 0.000 0.000 0.000 4.732 0.000 0.000 0.000 5.549" Properties=species:S:1:pos:R:3 comment="PBE MnFeH2, relaxed" space_group="No. 33" dos_at_fermi_per_ev_atom=0.71 polymorph_energy_mev_per_atom=97.7 pbc="T T T"
Mn 2.223 2.002 3.458
Mn 0.024 0.364 0.683
Mn 0.024 2.731 2.091
Mn 2.223 4.368 4.865
H 3.869 1.944 0.722
H 3.900 4.320 4.844
H 3.900 1.954 3.479
H 1.670 2.789 4.826
H 1.702 2.778 2.069
H 1.702 0.412 0.705
H 1.670 0.422 3.496
H 3.869 4.310 2.052
Fe 2.203 4.379 2.109
Fe 0.004 0.353 3.440
Fe 0.004 2.719 4.883
Fe 2.203 2.013 0.665

***

10
Lattice="2.518 0.001 0.000 1.257 4.631 0.000 0.000 0.000 7.774" Properties=species:S:1:pos:R:3 comment="PBE MnFe3H, relaxed" space_group="No. 11" dos_at_fermi_per_ev_atom=1.09 polymorph_energy_mev_per_atom=54.9 pbc="T T T"
Fe 2.516 3.358 2.091
Fe 1.257 4.434 7.774
Fe 2.518 0.198 3.887
Fe 1.259 1.274 5.978
Fe 2.516 3.358 5.683
Fe 1.259 1.274 1.796
Mn 2.519 2.290 7.774
Mn 1.256 2.342 3.887
H 1.257 4.631 1.943
H 1.257 4.631 5.831

***

10
Lattice="4.435 -0.012 0.025 0.004 4.239 2.098 -0.022 -0.002 4.730" Properties=species:S:1:pos:R:3 comment="PBE MnFe3H, relaxed" space_group="No. 8" dos_at_fermi_per_ev_atom=0.77 polymorph_energy_mev_per_atom=0.0 pbc="T T T"
Fe 0.333 1.154 4.857
Fe 2.630 2.195 4.199
Fe 1.851 0.119 3.141
Fe 0.346 3.267 3.546
Fe 4.000 3.260 5.929
Fe 1.864 2.175 1.865
H 1.123 2.714 5.021
H 1.117 3.822 2.073
Mn 4.037 1.146 2.523
Mn 2.640 0.096 0.818

***

8
Lattice="6.042 0.000 0.000 0.000 6.042 0.000 3.021 3.021 1.933" Properties=species:S:1:pos:R:3 comment="PBE Mn2FeH, relaxed" space_group="No. 122" dos_at_fermi_per_ev_atom=0.64 polymorph_energy_mev_per_atom=266.5 pbc="T T T"
H 3.021 6.042 0.966
H 3.021 3.021 0.000
Fe 6.042 3.021 0.966
Fe 0.000 0.000 0.000
Mn 4.531 5.151 1.449
Mn 2.130 4.531 0.483
Mn 3.912 1.510 0.483
Mn 7.552 6.933 1.449

***

5
Lattice="-2.185 -0.830 -2.629 1.623 -3.099 -0.371 -2.228 -1.444 2.308" Properties=species:S:1:pos:R:3 comment="PBE MnFe3H, relaxed" space_group="No. 221" dos_at_fermi_per_ev_atom=1.30 polymorph_energy_mev_per_atom=74.8 pbc="T T T"
Mn -1.395 -2.686 -0.346
H 0.000 0.000 0.000
Fe 0.812 -1.549 -0.185
Fe -1.114 -0.722 1.154
Fe -1.092 -0.415 -1.315

***

24
Lattice="3.719 -0.006 0.000 0.008 5.239 0.000 0.000 0.000 7.862" Properties=species:S:1:pos:R:3 comment="PBE MnFe2H3, relaxed" space_group="No. 62" dos_at_fermi_per_ev_atom=0.64 total_energy_ev_per_atom=-6.01 pbc="T T T"
Fe 2.794 3.273 7.171
Fe 0.937 4.580 3.240
Fe 2.790 0.661 1.955
Fe 0.933 1.960 0.691
Fe 0.937 4.572 5.907
Fe 0.933 1.953 5.886
Fe 2.790 0.654 4.622
Fe 2.794 3.281 1.976
Mn 2.790 0.634 7.222
Mn 2.794 3.254 4.571
Mn 0.937 4.600 0.640
Mn 0.933 1.980 3.291
H 0.935 3.269 1.955
H 0.931 0.649 1.976
H 2.792 2.019 0.607
H 2.792 1.906 3.344
H 0.931 0.708 7.275
H 0.935 3.214 7.255
H 0.931 0.594 4.538
H 2.796 4.639 3.324
H 2.796 4.526 0.587
H 0.935 3.328 4.518
H 2.796 4.584 5.886
H 2.792 1.965 5.907

***

12
Lattice="-1.971 -1.474 -0.809 -0.417 -4.083 4.305 -5.300 3.072 3.161" Properties=species:S:1:pos:R:3 comment="PBE Mn3FeH2, relaxed" space_group="No. 12" dos_at_fermi_per_ev_atom=0.74 total_energy_ev_per_atom=-7.05 pbc="T T T"
Mn -1.085 -1.469 1.170
Mn -4.926 -2.877 4.794
Mn -6.603 -1.017 5.488
Mn -3.241 -4.643 3.908
Mn -2.762 0.392 1.864
Mn -4.446 2.157 2.749
H -3.776 -0.842 2.434
H -3.911 -1.644 4.223
H -6.527 -0.176 3.773
H -1.160 -2.310 2.885
Fe -4.739 -0.256 3.711
Fe -2.948 -2.230 2.947

***

5
Lattice="3.029 0.000 0.000 0.000 3.029 0.000 1.514 1.514 4.497" Properties=species:S:1:pos:R:3 comment="PBE MnFe2H2, relaxed" space_group="No. 139" dos_at_fermi_per_ev_atom=0.40 polymorph_energy_mev_per_atom=68.2 pbc="T T T"
Fe 1.514 1.514 1.443
Fe 3.029 3.029 3.054
H 3.029 1.514 2.248
H 1.514 3.029 2.248
Mn 0.000 0.000 0.000

***

10
Lattice="4.270 0.000 0.000 0.000 4.866 -0.036 -2.135 -1.855 3.204" Properties=species:S:1:pos:R:3 comment="PBE MnFeH3, relaxed" space_group="No. 166" dos_at_fermi_per_ev_atom=0.39 total_energy_ev_per_atom=-5.49 pbc="T T T"
H 3.272 2.932 0.938
H 2.135 1.944 2.644
H 1.137 0.078 2.231
H 0.998 2.932 0.938
H 0.000 1.066 0.524
H -1.137 0.078 2.231
Fe 0.000 -0.408 1.189
Fe 2.135 3.419 1.980
Mn 0.000 1.852 2.501
Mn 2.135 1.158 0.667

***

8
Lattice="3.857 0.000 0.000 0.000 3.857 0.000 1.928 1.928 3.918" Properties=species:S:1:pos:R:3 comment="PBE MnFeH2, relaxed" space_group="No. 122" dos_at_fermi_per_ev_atom=1.19 polymorph_energy_mev_per_atom=107.9 pbc="T T T"
Mn 1.928 3.857 1.959
Mn 1.928 1.928 0.000
H 0.908 2.892 0.979
H 4.821 4.876 2.938
H 2.948 0.964 0.979
H 2.892 2.837 2.938
Fe 3.857 1.928 1.959
Fe 0.000 0.000 0.000

***

14
Lattice="3.938 0.000 2.005 1.458 3.657 2.005 -0.970 -0.658 6.775" Properties=species:S:1:pos:R:3 comment="PBE MnFe3H3, relaxed" space_group="No. 148" dos_at_fermi_per_ev_atom=0.82 total_energy_ev_per_atom=-6.28 pbc="T T T"
H 0.788 -0.339 6.534
H 1.821 2.142 2.912
H 3.638 3.339 4.250
H 2.605 0.857 7.873
H 0.473 2.102 7.217
H 3.953 0.898 3.568
Fe 2.187 0.572 3.847
Fe 1.819 3.018 4.504
Fe 3.975 1.820 5.188
Fe 2.239 2.428 6.938
Fe 2.607 -0.019 6.281
Fe 0.450 1.180 5.597
Mn 2.635 1.786 9.433
Mn 1.791 1.214 1.352

***

10
Lattice="-3.326 -0.870 -1.327 0.103 -2.703 -3.605 -1.786 -3.726 1.801" Properties=species:S:1:pos:R:3 comment="PBE Mn4FeH5, relaxed" space_group="No. 87" dos_at_fermi_per_ev_atom=0.76 total_energy_ev_per_atom=-6.21 pbc="T T T"
Mn -2.291 -2.907 -2.598
Mn -3.660 -5.093 -2.850
Mn -1.355 -2.207 -0.284
Mn -2.725 -4.393 -0.536
H -0.627 -2.452 -1.949
H -1.986 -4.672 -2.205
H -3.029 -2.629 -0.929
H -3.349 -6.865 -2.469
H -4.389 -4.848 -1.185
Fe -0.003 -0.001 -0.001

***

4
Lattice="-0.155 -2.496 -0.643 2.031 -1.188 -1.066 2.170 -2.426 3.707" Properties=species:S:1:pos:R:3 comment="PBE MnFeH2, relaxed" space_group="No. 160" dos_at_fermi_per_ev_atom=0.63 polymorph_energy_mev_per_atom=70.5 pbc="T T T"
H 0.985 -1.507 0.427
H 1.806 -2.144 2.701
Mn 3.404 -4.870 2.524
Fe 2.041 -3.070 1.051

***

5
Lattice="4.209 0.000 0.000 0.000 4.209 0.000 0.000 0.000 4.209" Properties=species:S:1:pos:R:3 comment="PBE MnFe3H, relaxed" space_group="No. 221" dos_at_fermi_per_ev_atom=1.17 polymorph_energy_mev_per_atom=1663.4 pbc="T T T"
Fe 2.104 0.000 0.000
Fe 0.000 0.000 2.104
Fe 0.000 2.104 0.000
H 2.104 2.104 2.104
Mn 0.000 0.000 0.000

***

80
Lattice="8.906 0.000 0.000 -2.969 8.397 0.000 -2.969 -4.198 7.272" Properties=species:S:1:pos:R:3 comment="PBE Mn5Fe3H12, relaxed" space_group="No. 230" dos_at_fermi_per_ev_atom=0.34 total_energy_ev_per_atom=-5.47 pbc="T T T"
H -0.545 4.777 3.065
H -0.940 2.944 6.240
H -2.848 3.257 6.839
H -2.536 3.699 4.069
H -0.940 -2.365 5.238
H -1.252 0.016 6.103
H 3.401 3.773 5.670
H 1.717 3.178 0.570
H 0.120 2.945 3.037
H 2.029 3.620 3.065
H 1.252 1.020 6.701
H -3.201 -0.016 6.103
H 3.513 -0.579 4.206
H -0.233 3.194 0.599
H 1.605 -1.254 4.234
H -1.917 4.623 5.670
H 5.505 0.499 3.203
H 4.573 2.195 2.604
H 5.817 0.941 0.433
H 3.908 1.254 1.031
H -3.513 2.365 5.238
H 2.848 1.254 4.234
H -1.052 -0.499 3.203
H 6.482 1.833 2.034
H 1.052 3.274 4.805
H 6.170 4.215 1.169
H -0.233 5.219 0.570
H 3.201 1.004 6.673
H 6.058 -2.004 4.667
H 0.940 0.579 4.206
H 4.573 7.456 0.433
H 2.536 -0.924 2.467
H 1.252 -1.004 6.673
H -3.089 6.202 2.604
H -1.605 2.004 4.667
H 0.433 5.123 4.805
H -1.605 -3.257 6.839
H 4.886 -0.425 1.602
H 3.201 -1.020 6.701
H 3.908 6.564 2.034
H 4.020 4.698 4.069
H 1.717 5.203 0.599
H 1.917 0.924 2.467
H -0.433 0.425 1.602
H 4.220 4.182 1.169
H 1.364 5.452 3.037
H 5.393 -2.944 6.240
H -2.424 7.143 1.031
Fe -2.227 -1.574 6.363
Fe 6.680 0.000 1.818
Fe 5.195 2.624 0.909
Fe 2.227 4.723 4.545
Fe -2.227 1.574 6.363
Fe 0.742 4.198 1.818
Fe 0.742 -0.525 2.727
Fe 3.711 0.525 2.727
Fe 2.227 0.000 5.454
Fe -3.711 4.198 5.454
Fe -0.742 3.674 4.545
Fe 5.195 5.773 0.909
Mn -2.227 4.723 2.727
Mn 2.227 6.298 1.818
Mn -1.484 -2.099 3.636
Mn -0.742 0.525 4.545
Mn 0.742 2.624 6.363
Mn 2.227 1.574 0.909
Mn -1.484 4.198 0.000
Mn 2.969 4.198 0.000
Mn -2.969 2.099 3.636
Mn 0.000 0.000 0.000
Mn 4.453 0.000 0.000
Mn 5.195 -0.525 4.545
Mn 3.711 3.674 2.727
Mn 0.742 -2.099 5.454
Mn 3.711 2.099 5.454
Mn -0.742 6.822 0.909
Mn -0.742 2.099 1.818
Mn 3.711 -2.624 6.363
Mn 1.484 2.099 3.636
Mn 2.969 -2.099 3.636